Entry 1:
Computed, not measured: crystalline BaAcGaAg at its relaxed geometry at the PBE-GGA level of DFT.

Geometry as CIF:
```
data_BaAcGaAg
_chemical_formula_sum 'Ba1 Ac1 Ga1 Ag1'
_cell_length_a 5.6773
_cell_length_b 5.6773
_cell_length_c 5.6773
_cell_angle_alpha 60.00
_cell_angle_beta 60.00
_cell_angle_gamma 60.00
_symmetry_space_group_name_H-M 'P 1'
_symmetry_Int_Tables_number 1
_symmetry_space_group_name_Hall 'P 1'
loop_
_atom_site_label
_atom_site_type_symbol
_atom_site_fract_x
_atom_site_fract_y
_atom_site_fract_z
Ga1 Ga 0.7500 0.7500 0.7500
Ac1 Ac 0.0000 0.0000 0.0000
Ag1 Ag 0.2500 0.2500 0.2500
Ba1 Ba 0.5000 0.5000 0.5000
```

Output
For the total energy, the calculation gives -3.2644 eV per atom. The value obtained for the density is 6.95 g/cm3. As for the symmetry: No. 216. The calculation puts the formation energy at -0.29 eV/atom. The density of states at the Fermi level comes out at 2.97 states/eV/cell.

Entry 2:
Computed, not measured: crystalline ZnTe at its relaxed geometry at the PBE-GGA level of DFT.

Geometry as CIF:
```
data_ZnTe
_chemical_formula_sum 'Zn2 Te2'
_cell_length_a 5.4159
_cell_length_b 5.5968
_cell_length_c 4.3772
_cell_angle_alpha 90.00
_cell_angle_beta 128.23
_cell_angle_gamma 90.00
_symmetry_space_group_name_H-M 'P 1'
_symmetry_Int_Tables_number 1
_symmetry_space_group_name_Hall 'P 1'
loop_
_atom_site_label
_atom_site_type_symbol
_atom_site_fract_x
_atom_site_fract_y
_atom_site_fract_z
Te1 Te 0.2465 0.7500 0.9943
Zn1 Zn 0.6399 0.7500 0.7817
Te2 Te 0.7535 0.2500 0.0057
Zn2 Zn 0.3601 0.2500 0.2183
```

Output
For the total energy, the calculation gives -2.4120 eV per atom. The value obtained for the density is 6.15 g/cm3. As for the symmetry: No. 11. The density of states at the Fermi level comes out at 1.32 states/eV/cell. The calculation puts the formation energy from raw total energies at -0.20 eV/atom.

Entry 3:
Computed, not measured: crystalline TlAs2SeF at its relaxed geometry at the PBE-GGA level of DFT.

Geometry as CIF:
```
data_TlAs2SeF
_chemical_formula_sum 'Tl1 As2 Se1 F1'
_cell_length_a 4.5026
_cell_length_b 4.5026
_cell_length_c 5.4650
_cell_angle_alpha 90.00
_cell_angle_beta 90.00
_cell_angle_gamma 90.00
_symmetry_space_group_name_H-M 'P 1'
_symmetry_Int_Tables_number 1
_symmetry_space_group_name_Hall 'P 1'
loop_
_atom_site_label
_atom_site_type_symbol
_atom_site_fract_x
_atom_site_fract_y
_atom_site_fract_z
As1 As 0.5000 0.0000 0.0000
As2 As 0.0000 0.5000 0.0000
Tl1 Tl 0.5000 0.5000 0.5000
Se1 Se 0.0000 0.0000 0.5000
F1 F 0.0000 0.0000 0.0000
```

Output
For the total energy, the calculation gives -3.2371 eV per atom. The value obtained for the density is 6.78 g/cm3. As for the symmetry: No. 123. The density of states at the Fermi level comes out at 3.90 states/eV/cell. The calculation puts the formation energy from raw total energies at 0.17 eV/atom.

Entry 4:
Computed, not measured: crystalline Ho4Hg3Ru at its relaxed geometry at the PBE-GGA level of DFT.

Geometry as CIF:
```
data_Ho4Hg3Ru
_chemical_formula_sum 'Ho4 Hg3 Ru1'
_cell_length_a 3.5436
_cell_length_b 3.5436
_cell_length_c 15.2208
_cell_angle_alpha 90.00
_cell_angle_beta 90.00
_cell_angle_gamma 90.00
_symmetry_space_group_name_H-M 'P 1'
_symmetry_Int_Tables_number 1
_symmetry_space_group_name_Hall 'P 1'
loop_
_atom_site_label
_atom_site_type_symbol
_atom_site_fract_x
_atom_site_fract_y
_atom_site_fract_z
Hg1 Hg 0.5000 0.5000 0.5000
Hg2 Hg 0.5000 0.5000 0.2433
Ho1 Ho 0.0000 0.0000 0.6290
Hg3 Hg 0.5000 0.5000 0.7567
Ho2 Ho 0.0000 0.0000 0.1061
Ho3 Ho 0.0000 0.0000 0.3710
Ho4 Ho 0.0000 0.0000 0.8939
Ru1 Ru 0.5000 0.5000 0.0000
```

Output
For the total energy, the calculation gives -4.0406 eV per atom. The value obtained for the density is 11.84 g/cm3. As for the symmetry: No. 123. The calculation puts the formation energy at -0.48 eV/atom. The density of states at the Fermi level comes out at 5.62 states/eV/cell.

Entry 5:
Computed, not measured: crystalline LaNd8Hg2 at its relaxed geometry at the PBE-GGA level of DFT.

Geometry as CIF:
```
data_LaNd8Hg2
_chemical_formula_sum 'La1 Nd8 Hg2'
_cell_length_a 5.8121
_cell_length_b 8.8645
_cell_length_c 8.8645
_cell_angle_alpha 118.97
_cell_angle_beta 100.36
_cell_angle_gamma 100.36
_symmetry_space_group_name_H-M 'P 1'
_symmetry_Int_Tables_number 1
_symmetry_space_group_name_Hall 'P 1'
loop_
_atom_site_label
_atom_site_type_symbol
_atom_site_fract_x
_atom_site_fract_y
_atom_site_fract_z
La1 La 0.5000 0.0000 0.0000
Nd1 Nd 0.5000 0.7715 0.2285
Nd2 Nd 0.8952 0.6836 0.9112
Nd3 Nd 0.8952 0.9112 0.6836
Hg1 Hg 0.0000 0.6932 0.3068
Hg2 Hg 0.0000 0.3068 0.6932
Nd4 Nd 0.1048 0.0888 0.3164
Nd5 Nd 0.5000 0.2285 0.7715
Nd6 Nd 0.1048 0.3164 0.0888
Nd7 Nd 0.2990 0.5973 0.5973
Nd8 Nd 0.7010 0.4027 0.4027
```

Output
For the total energy, the calculation gives -4.0343 eV per atom. The value obtained for the density is 7.53 g/cm3. As for the symmetry: No. 12. The calculation puts the formation energy at -0.06 eV/atom. The density of states at the Fermi level comes out at 13.55 states/eV/cell.

Entry 6:
Computed, not measured: crystalline CrSn at its relaxed geometry at the PBE-GGA level of DFT.

Geometry as CIF:
```
data_CrSn
_chemical_formula_sum 'Cr8 Sn8'
_cell_length_a 5.5673
_cell_length_b 5.9023
_cell_length_c 9.6524
_cell_angle_alpha 90.00
_cell_angle_beta 90.00
_cell_angle_gamma 90.00
_symmetry_space_group_name_H-M 'P 1'
_symmetry_Int_Tables_number 1
_symmetry_space_group_name_Hall 'P 1'
loop_
_atom_site_label
_atom_site_type_symbol
_atom_site_fract_x
_atom_site_fract_y
_atom_site_fract_z
Sn1 Sn 0.7873 0.6469 0.1098
Sn2 Sn 0.4485 0.6548 0.3864
Cr1 Cr 0.2763 0.5601 0.1239
Cr2 Cr 0.2237 0.4399 0.6239
Cr3 Cr 0.0519 0.0630 0.1239
Sn3 Sn 0.2873 0.8531 0.8902
Cr4 Cr 0.7763 0.9399 0.8761
Sn4 Sn 0.9485 0.8452 0.6136
Cr5 Cr 0.7237 0.0601 0.3761
Sn5 Sn 0.2127 0.1469 0.3902
Cr6 Cr 0.5519 0.4370 0.8761
Sn6 Sn 0.0515 0.3452 0.8864
Cr7 Cr 0.9481 0.5630 0.3761
Cr8 Cr 0.4481 0.9370 0.6239
Sn7 Sn 0.7127 0.3531 0.6098
Sn8 Sn 0.5515 0.1548 0.1136
```

Output
For the total energy, the calculation gives -6.3948 eV per atom. The value obtained for the density is 7.15 g/cm3. As for the symmetry: No. 19. The calculation puts the formation energy at 0.42 eV/atom. The density of states at the Fermi level comes out at 10.13 states/eV/cell.